The following is a DFT calculation (PBE) of a geometry-optimized Sc2GaIr structure.

Cell and atoms, written as CIF:
```
data_Sc2GaIr
_chemical_formula_sum 'Sc2 Ga1 Ir1'
_space_group_name_H-M_alt 'P 1'
_space_group_IT_number 1
_space_group_name_Hall 'P 1'
_cell_length_a 3.295
_cell_length_b 3.295
_cell_length_c 6.586
_cell_angle_alpha 90.00
_cell_angle_beta 90.00
_cell_angle_gamma 90.00
loop_
_atom_site_label
_atom_site_fract_x
_atom_site_fract_y
_atom_site_fract_z
Sc1 0.000 0.000 0.238
Sc2 0.000 0.000 0.762
Ga1 0.500 0.500 0.500
Ir1 0.500 0.500 0.000
```

Results
spin magnetization: 0.00 μB per cell
space group: P4/mmm, No. 123
VASP energy: -27.8 eV for the cell shown